## Cd3SnPb2 (GGA-PBE)

Data for a relaxed structure of Cd3SnPb2.

The raw total energy comes out at -2.31 eV per atom.

It has space group C2/c (No. 15), with a = 10.490 Å, b = 6.424 Å, c = 10.960 Å, α = 90.00°, β = 118.52° and γ = 90.00°. The asymmetric unit holds Cd at (0.000, 0.127, 0.250), Cd at (0.162, 0.376, 0.075), Sn at (0.000, 0.373, 0.750) and Pb at (0.172, 0.124, 0.592).

## Si4OsRu (GGA-PBE)

Data for a relaxed structure of Si4OsRu.

The raw total energy comes out at -6.43 eV per atom. The energy relative to the elements, uncorrected is 348 kJ/mol of formula units.

It has space group F-43m (No. 216), with a = 6.806 Å, b = 6.806 Å, c = 6.806 Å, α = 90.00°, β = 90.00° and γ = 90.00°. The asymmetric unit holds Si at (0.125, 0.125, 0.125), Os at (0.000, 0.000, 0.500) and Ru at (0.250, 0.250, 0.750).

## Na4ScPd3O8 (GGA-PBE)

Data for a relaxed structure of Na4ScPd3O8.

The raw total energy comes out at -5.51 eV per atom. The energy relative to the elements, uncorrected is -2060 kJ/mol of formula units.

It has space group C2/m (No. 12), with a = 11.936 Å, b = 6.116 Å, c = 6.370 Å, α = 90.00°, β = 121.81° and γ = 90.00°. The asymmetric unit holds Na at (0.000, 0.000, 0.000), Na at (0.000, 0.500, 0.000), Na at (0.250, 0.250, 0.500), Sc at (0.000, 0.000, 0.500), Pd at (0.000, 0.500, 0.500), Pd at (0.250, 0.250, 0.000), O at (0.021, 0.254, 0.300), O at (0.202, 0.500, 0.748) and O at (0.218, 0.000, 0.757).

## Ca3Sb5O12 (GGA-PBE)

Data for a relaxed structure of Ca3Sb5O12.

The raw total energy comes out at -6.01 eV per atom. The energy relative to the elements, uncorrected is -3296 kJ/mol of formula units.

It has space group Ia-3d (No. 230), with a = 13.539 Å, b = 13.539 Å, c = 13.539 Å, α = 90.00°, β = 90.00° and γ = 90.00°. The asymmetric unit holds Ca at (0.000, 0.250, 0.125), Sb at (0.000, 0.000, 0.000), Sb at (0.000, 0.250, 0.375) and O at (0.022, 0.054, 0.644).

## Ca2MgSb3Rh4 (GGA-PBE)

Data for a relaxed structure of Ca2MgSb3Rh4.

The raw total energy comes out at -5.44 eV per atom. The energy relative to the elements, uncorrected is -675 kJ/mol of formula units.

It has space group P-4m2 (No. 115), with a = 4.320 Å, b = 4.320 Å, c = 11.242 Å, α = 90.00°, β = 90.00° and γ = 90.00°. The asymmetric unit holds Ca at (0.000, 0.500, 0.250), Mg at (0.000, 0.000, 0.500), Sb at (0.000, 0.500, 0.866), Sb at (0.500, 0.500, 0.500), Rh at (0.000, 0.000, 0.000), Rh at (0.000, 0.500, 0.637) and Rh at (0.500, 0.500, 0.000).

## Y2AgAs (GGA-PBE)

Data for a relaxed structure of Y2AgAs.

The raw total energy comes out at -5.63 eV per atom.

It has space group I-42d (No. 122), with a = 7.662 Å, b = 7.662 Å, c = 7.363 Å, α = 90.00°, β = 90.00° and γ = 90.00°. The asymmetric unit holds Y at (0.238, 0.250, 0.125), Ag at (0.000, 0.000, 0.500) and As at (0.000, 0.000, 0.000).

## LaZrIn2Co (GGA-PBE)

Data for a relaxed structure of LaZrIn2Co.

The raw total energy comes out at -4.16 eV per atom.

It has space group P4/mmm (No. 123), with a = 5.558 Å, b = 5.558 Å, c = 5.443 Å, α = 90.00°, β = 90.00° and γ = 90.00°. The asymmetric unit holds La at (0.000, 0.000, 0.000), Zr at (0.000, 0.000, 0.500), In at (0.000, 0.500, 0.500) and Co at (0.500, 0.500, 0.000).

## GaPSeBr2 (GGA-PBE)

Data for a relaxed structure of GaPSeBr2.

The raw total energy comes out at -2.60 eV per atom. The energy relative to the elements, uncorrected is 220 kJ/mol of formula units.

It has space group P4/mmm (No. 123), with a = 5.031 Å, b = 5.031 Å, c = 5.366 Å, α = 90.00°, β = 90.00° and γ = 90.00°. The asymmetric unit holds Ga at (0.000, 0.000, 0.000), P at (0.500, 0.500, 0.500), Se at (0.000, 0.000, 0.500) and Br at (0.000, 0.500, 0.000).

## AlCo3 (GGA-PBE)

Data for a relaxed structure of AlCo3.

The raw total energy comes out at -6.47 eV per atom.

It has space group Immm (No. 71), with a = 2.873 Å, b = 3.977 Å, c = 8.035 Å, α = 90.00°, β = 90.00° and γ = 90.00°. The asymmetric unit holds Al at (0.000, 0.000, 0.000), Co at (0.000, 0.000, 0.500) and Co at (0.000, 0.500, 0.249).

## LaNd4Th3N8 (GGA-PBE)

Data for a relaxed structure of LaNd4Th3N8.

The raw total energy comes out at -8.55 eV per atom. The energy relative to the elements, uncorrected is -2302 kJ/mol of formula units.

It has space group R-3m (No. 166, hexagonal axes), with a = 7.3473 Å, b = 7.3473 Å, c = 17.9253 Å, α = 90.00°, β = 90.00° and γ = 120.00°. The asymmetric unit holds La at (0.0000, 0.0000, 0.0000), Nd at (0.0000, 0.0000, 0.5000), Nd at (0.0000, 0.5000, 0.5000), Th at (0.0000, 0.5000, 0.0000), N at (0.0000, 0.0000, 0.2546) and N at (0.0102, 0.5051, 0.2534).

## CsBe2AgI6 (GGA-PBE)

Data for a relaxed structure of CsBe2AgI6.

The raw total energy comes out at -2.70 eV per atom. The energy relative to the elements, uncorrected is -634 kJ/mol of formula units.

It has space group C2/c (No. 15), with a = 11.180 Å, b = 21.323 Å, c = 9.069 Å, α = 90.00°, β = 106.90° and γ = 90.00°. The asymmetric unit holds Cs at (0.000, 0.208, 0.250), Be at (0.188, 0.388, 0.210), Ag at (0.000, 0.458, 0.750), I at (0.012, 0.368, 0.004), I at (0.184, 0.196, 0.693) and I at (0.240, 0.488, 0.307).

## BaY2Sb (GGA-PBE)

Data for a relaxed structure of BaY2Sb.

The raw total energy comes out at -5.19 eV per atom. The energy relative to the elements, uncorrected is -174 kJ/mol of formula units.

It has space group P4mm (No. 99), with a = 4.137 Å, b = 4.137 Å, c = 8.345 Å, α = 90.00°, β = 90.00° and γ = 90.00°. The asymmetric unit holds Ba at (0.000, 0.000, 0.000), Y at (0.000, 0.000, 0.427), Y at (0.500, 0.500, 0.660) and Sb at (0.500, 0.500, 0.279).